[1]
A geometry-optimized Pr2NiSn2Rh structure, computed with GGA-PBE.

It has space group Ibam (No. 72), with a = 6.475 Å, b = 14.057 Å, c = 6.389 Å, α = 90.00°, β = 90.00° and γ = 90.00°. The inequivalent atoms are Pr at (0.241, 0.151, 0.000), Ni at (0.000, 0.500, 0.250), Sn at (0.233, 0.397, 0.000) and Rh at (0.000, 0.000, 0.250).

The energy relative to the elements is -64 kJ per mole of atoms. The value obtained for the total magnetization is 0.00 μB/f.u. As for the total energy: -138.8 eV for the cell shown.

---

[2]
A geometry-optimized Ba2CuOs3O12 structure, computed with GGA-PBE.

It has space group R-3m (No. 166, hexagonal axes), with a = 7.2882 Å, b = 7.2882 Å, c = 16.7035 Å, α = 90.00°, β = 90.00° and γ = 120.00°. The inequivalent atoms are Ba at (0.0000, 0.0000, 0.1196), Cu at (0.0000, 0.0000, 0.5000), Os at (0.0000, 0.5000, 0.0000), O at (0.0452, 0.5226, 0.1093) and O at (0.0614, 0.5307, 0.3498).

The value obtained for the total magnetization is 1.87 μB/f.u. The uncorrected formation energy comes out at -1.347 eV/atom. As for the total energy: -376.2 eV for the cell shown.

---

[3]
A geometry-optimized Ho3Er12Tl structure, computed with GGA-PBE.

It has space group P4/mmm (No. 123), with a = 4.909 Å, b = 4.909 Å, c = 19.926 Å, α = 90.00°, β = 90.00° and γ = 90.00°. The inequivalent atoms are Ho at (0.000, 0.000, 0.000), Ho at (0.000, 0.000, 0.251), Er at (0.000, 0.500, 0.126), Er at (0.000, 0.500, 0.378), Er at (0.500, 0.500, 0.000), Er at (0.500, 0.500, 0.255), Er at (0.500, 0.500, 0.500) and Tl at (0.000, 0.000, 0.500).

The energy relative to the elements is -2 kJ per mole of atoms. The value obtained for the total magnetization is 0.00 μB/f.u. As for the total energy: -71.2 eV for the cell shown.

---

Please write out number 1 again, unchanged.
A geometry-optimized Pr2NiSn2Rh structure, computed with GGA-PBE.

It has space group Ibam (No. 72), with a = 6.475 Å, b = 14.057 Å, c = 6.389 Å, α = 90.00°, β = 90.00° and γ = 90.00°. The inequivalent atoms are Pr at (0.241, 0.151, 0.000), Ni at (0.000, 0.500, 0.250), Sn at (0.233, 0.397, 0.000) and Rh at (0.000, 0.000, 0.250).

The energy relative to the elements is -64 kJ per mole of atoms. The value obtained for the total magnetization is 0.00 μB/f.u. As for the total energy: -138.8 eV for the cell shown.

---

Q: Which formula does entry 1 have?
A: Pr2NiSn2Rh